VASP calculation (PBE) on YZnSe after structural relaxation. Values from VASP.

```
&SYSTEM
  ibrav = 0, nat = 3, ntyp = 3
/
ATOMIC_SPECIES
Se 78.96 Se.upf
Y 88.91 Y.upf
Zn 65.41 Zn.upf
CELL_PARAMETERS angstrom
4.8208 0.0000 0.0000
2.4104 4.1749 0.0000
2.4104 1.3916 3.9362
ATOMIC_POSITIONS crystal
Se 0.5000 0.5000 0.5000
Y 0.7500 0.7500 0.7500
Zn 0.0000 0.0000 0.0000
```

Values from the calculation:
Space group: F-43m, No. 216
Energy above the lowest structure with this stoichiometry in eV/atom: 0.307
Formation energy (no corrections) in meV/atom: -558

VASP calculation (PBE) on BaIn2Ni after structural relaxation. Values from VASP.

```
&SYSTEM
  ibrav = 0, nat = 4, ntyp = 3
/
ATOMIC_SPECIES
Ba 137.33 Ba.upf
In 114.82 In.upf
Ni 58.69 Ni.upf
CELL_PARAMETERS angstrom
-1.5493 -2.4161 -3.5357
-0.4389 -3.2614 2.4210
-6.2003 0.1626 2.6058
ATOMIC_POSITIONS crystal
Ba 0.5000 0.7102 0.6994
In 0.0000 0.9969 0.1346
In 0.5000 0.4411 0.2468
Ni 0.0000 0.3518 0.4192
```

Values from the calculation:
Space group: Pm, No. 6
ΔE_f in eV/atom: -0.07

VASP calculation (PBE) on AlInTe2Se after structural relaxation. Values from VASP.

```
&SYSTEM
  ibrav = 0, nat = 5, ntyp = 4
/
ATOMIC_SPECIES
Te 127.60 Te.upf
Al 26.98 Al.upf
Se 78.96 Se.upf
In 114.82 In.upf
CELL_PARAMETERS angstrom
5.2866 0.0000 0.0000
0.0000 5.3863 0.0000
0.0000 0.0000 5.2866
ATOMIC_POSITIONS crystal
Te 0.0000 0.0000 0.5000
Te 0.5000 0.0000 0.0000
Al 0.0000 0.0000 0.0000
Se 0.5000 0.5000 0.5000
In 0.0000 0.5000 0.0000
```

Values from the calculation:
Space group: P4/mmm, No. 123
Formation energy (no corrections) in meV/atom: 345

VASP calculation (PBE) on TlIrPt after structural relaxation. Values from VASP.

```
&SYSTEM
  ibrav = 0, nat = 3, ntyp = 3
/
ATOMIC_SPECIES
Ir 192.22 Ir.upf
Pt 195.08 Pt.upf
Tl 204.38 Tl.upf
CELL_PARAMETERS angstrom
5.1030 0.0461 -0.0047
2.6367 4.3692 0.0047
-3.4895 -2.8744 2.3672
ATOMIC_POSITIONS crystal
Ir 0.9949 0.9949 0.0000
Pt 0.3398 0.3398 0.0000
Tl 0.6653 0.6653 0.0000
```

Values from the calculation:
Space group: Imm2, No. 44
Energy above the lowest structure with this stoichiometry in eV/atom: 0.044
ΔE_f in eV/atom: 0.46

VASP calculation (PBE) on BiSbPtI2 after structural relaxation. Values from VASP.

```
&SYSTEM
  ibrav = 0, nat = 5, ntyp = 4
/
ATOMIC_SPECIES
I 126.90 I.upf
Sb 121.76 Sb.upf
Bi 208.98 Bi.upf
Pt 195.08 Pt.upf
CELL_PARAMETERS angstrom
5.9479 0.0000 0.0000
0.0000 5.9479 0.0000
0.0000 0.0000 6.1861
ATOMIC_POSITIONS crystal
I 0.0000 0.5000 0.0000
I 0.5000 0.0000 0.0000
Sb 0.0000 0.0000 0.5000
Bi 0.0000 0.0000 0.0000
Pt 0.5000 0.5000 0.5000
```

Values from the calculation:
Space group: P4/mmm, No. 123
Energy above the lowest structure with this stoichiometry in eV/atom: 0.829
Formation energy (no corrections) in meV/atom: 1098

VASP calculation (PBE) on AlTl2ReRh after structural relaxation. Values from VASP.

```
&SYSTEM
  ibrav = 0, nat = 5, ntyp = 4
/
ATOMIC_SPECIES
Re 186.21 Re.upf
Tl 204.38 Tl.upf
Rh 102.91 Rh.upf
Al 26.98 Al.upf
CELL_PARAMETERS angstrom
5.1991 0.0000 0.0000
0.0000 4.8240 0.0000
0.0000 0.0000 5.1991
ATOMIC_POSITIONS crystal
Re 0.0000 0.5000 0.0000
Tl 0.0000 0.0000 0.5000
Tl 0.5000 0.0000 0.0000
Rh 0.0000 0.0000 0.0000
Al 0.5000 0.5000 0.5000
```

Values from the calculation:
Space group: P4/mmm, No. 123
ΔE_f in eV/atom: 1.15

VASP calculation (PBE) on Nd3Dy3Tm2 after structural relaxation. Values from VASP.

```
&SYSTEM
  ibrav = 0, nat = 8, ntyp = 3
/
ATOMIC_SPECIES
Nd 144.24 Nd.upf
Dy 162.50 Dy.upf
Tm 168.93 Tm.upf
CELL_PARAMETERS angstrom
-1.2327 -3.8374 3.0657
-2.3532 -2.3163 -3.8457
10.4061 -1.6338 -2.0431
ATOMIC_POSITIONS crystal
Nd 0.1263 0.1263 0.2526
Nd 0.0000 0.5000 0.0000
Nd 0.8737 0.8737 0.7474
Dy 0.6273 0.6273 0.2546
Dy 0.3727 0.3727 0.7454
Dy 0.5000 0.0000 0.0000
Tm 0.7505 0.2505 0.5011
Tm 0.2495 0.7495 0.4989
```

Values from the calculation:
Space group: Immm, No. 71
Energy above the lowest structure with this stoichiometry in eV/atom: 0.000
ΔE_f in eV/atom: 0.02

VASP calculation (PBE) on Dy3ScTl4Se8 after structural relaxation. Values from VASP.

```
&SYSTEM
  ibrav = 0, nat = 16, ntyp = 4
/
ATOMIC_SPECIES
Dy 162.50 Dy.upf
Sc 44.96 Sc.upf
Tl 204.38 Tl.upf
Se 78.96 Se.upf
CELL_PARAMETERS angstrom
8.2717 0.0000 0.0000
0.0000 9.0983 0.5755
-4.1359 -4.1320 5.8514
ATOMIC_POSITIONS crystal
Dy 0.5000 0.5000 0.0000
Dy 0.5000 0.5000 0.5000
Dy 0.0000 0.5000 0.5000
Sc 0.0000 0.5000 0.0000
Tl 0.5000 0.0000 0.0000
Tl 0.5000 0.0000 0.5000
Tl 0.0000 0.0000 0.0000
Tl 0.0000 0.0000 0.5000
Se 0.2281 0.7003 0.9723
Se 0.2281 0.7003 0.4562
Se 0.2647 0.2943 0.5295
Se 0.7442 0.7003 0.9723
Se 0.2558 0.2997 0.0277
Se 0.7353 0.7057 0.4705
Se 0.7719 0.2997 0.5438
Se 0.7719 0.2997 0.0277
```

Values from the calculation:
Space group: R-3m, No. 166
Formation energy (no corrections) in meV/atom: -1349

VASP calculation (PBE) on ScTa2PbO after structural relaxation. Values from VASP.

```
&SYSTEM
  ibrav = 0, nat = 5, ntyp = 4
/
ATOMIC_SPECIES
Pb 207.20 Pb.upf
Sc 44.96 Sc.upf
O 16.00 O.upf
Ta 180.95 Ta.upf
CELL_PARAMETERS angstrom
5.3837 0.0000 0.0000
0.0000 4.2360 0.0000
0.0000 0.0000 5.3837
ATOMIC_POSITIONS crystal
Pb 0.0000 0.0000 0.0000
Sc 0.5000 0.5000 0.5000
O 0.0000 0.5000 0.0000
Ta 0.0000 0.0000 0.5000
Ta 0.5000 0.0000 0.0000
```

Values from the calculation:
Space group: P4/mmm, No. 123
Formation energy (no corrections) in meV/atom: 1552

VASP calculation (PBE) on LaSmHgPt after structural relaxation. Values from VASP.

```
&SYSTEM
  ibrav = 0, nat = 4, ntyp = 4
/
ATOMIC_SPECIES
Sm 150.36 Sm.upf
Hg 200.59 Hg.upf
Pt 195.08 Pt.upf
La 138.91 La.upf
CELL_PARAMETERS angstrom
5.2745 0.0000 0.0000
2.6373 4.5679 0.0000
2.6373 1.5226 4.3066
ATOMIC_POSITIONS crystal
Sm 0.0000 0.0000 0.0000
Hg 0.2500 0.2500 0.2500
Pt 0.7500 0.7500 0.7500
La 0.5000 0.5000 0.5000
```

Values from the calculation:
Space group: F-43m, No. 216
ΔE_f in eV/atom: -0.73

VASP calculation (PBE) on Pr4Te3S after structural relaxation. Values from VASP.

```
&SYSTEM
  ibrav = 0, nat = 8, ntyp = 3
/
ATOMIC_SPECIES
Pr 140.91 Pr.upf
Te 127.60 Te.upf
S 32.06 S.upf
CELL_PARAMETERS angstrom
-0.1581 4.3749 0.0799
-2.0844 2.1737 -3.1782
-13.3074 1.5860 6.7963
ATOMIC_POSITIONS crystal
Pr 0.6340 0.6340 0.0979
Pr 0.8756 0.8756 0.3733
Pr 0.3660 0.3660 0.9021
Pr 0.1244 0.1244 0.6267
Te 0.7457 0.7457 0.7629
Te 0.5000 0.5000 0.5000
Te 0.2543 0.2543 0.2371
S 0.0000 0.0000 0.0000
```

Values from the calculation:
Space group: R-3m, No. 166
Energy above the lowest structure with this stoichiometry in eV/atom: 0.000
Formation energy (no corrections) in meV/atom: -1577

VASP calculation (PBE) on Li2CrBr after structural relaxation. Values from VASP.

```
&SYSTEM
  ibrav = 0, nat = 4, ntyp = 3
/
ATOMIC_SPECIES
Br 79.90 Br.upf
Cr 52.00 Cr.upf
Li 6.94 Li.upf
CELL_PARAMETERS angstrom
-2.4312 0.9890 -5.7632
1.7738 -2.4805 -5.5501
-1.4022 -1.3291 6.0308
ATOMIC_POSITIONS crystal
Br 0.5000 0.5000 0.0000
Cr 0.7500 0.2500 0.5000
Li 0.0000 0.0000 0.0000
Li 0.2500 0.7500 0.5000
```

Values from the calculation:
Space group: I-4m2, No. 119
Energy above the lowest structure with this stoichiometry in eV/atom: 0.171
Formation energy (no corrections) in meV/atom: 39

VASP calculation (PBE) on Nb3AlS after structural relaxation. Values from VASP.

```
&SYSTEM
  ibrav = 0, nat = 10, ntyp = 3
/
ATOMIC_SPECIES
Nb 92.91 Nb.upf
Al 26.98 Al.upf
S 32.06 S.upf
CELL_PARAMETERS angstrom
2.9815 -0.3361 0.0000
-0.7752 6.5161 0.0000
0.0000 0.0000 9.1147
ATOMIC_POSITIONS crystal
Nb 0.8474 0.6948 0.5554
Nb 0.1526 0.3052 0.4446
Nb 0.1526 0.3052 0.0554
Nb 0.8474 0.6948 0.9446
Nb 0.4598 0.9211 0.2500
Nb 0.5402 0.0789 0.7500
Al 0.7747 0.5493 0.2500
Al 0.2253 0.4507 0.7500
S 0.5000 0.0000 0.0000
S 0.5000 0.0000 0.5000
```

Values from the calculation:
Space group: Cmcm, No. 63
Energy above the lowest structure with this stoichiometry in eV/atom: 0.000
Formation energy (no corrections) in meV/atom: -321

VASP calculation (PBE) on SrMo4Se after structural relaxation. Values from VASP.

```
&SYSTEM
  ibrav = 0, nat = 6, ntyp = 3
/
ATOMIC_SPECIES
Sr 87.62 Sr.upf
Mo 95.94 Mo.upf
Se 78.96 Se.upf
CELL_PARAMETERS angstrom
0.0000 3.8818 3.8818
3.8818 0.0000 3.8818
3.8818 3.8818 0.0000
ATOMIC_POSITIONS crystal
Sr 0.0000 0.0000 0.0000
Mo 0.8665 0.3778 0.3778
Mo 0.3778 0.3778 0.8665
Mo 0.3778 0.8665 0.3778
Mo 0.3778 0.3778 0.3778
Se 0.7500 0.7500 0.7500
```

Values from the calculation:
Space group: F-43m, No. 216
Formation energy (no corrections) in meV/atom: 729

VASP calculation (PBE) on La2NiRh2 after structural relaxation. Values from VASP.

```
&SYSTEM
  ibrav = 0, nat = 10, ntyp = 3
/
ATOMIC_SPECIES
Ni 58.69 Ni.upf
Rh 102.91 Rh.upf
La 138.91 La.upf
CELL_PARAMETERS angstrom
-6.9099 -0.6221 2.1967
2.2598 -2.8616 6.2980
0.1815 3.7157 1.6231
ATOMIC_POSITIONS crystal
Ni 0.0000 0.0000 0.0000
Ni 0.5000 0.5000 0.0000
Rh 0.3623 0.8623 0.0000
Rh 0.8623 0.6377 0.0000
Rh 0.6377 0.1377 0.0000
Rh 0.1377 0.3623 0.0000
La 0.1782 0.6782 0.5000
La 0.6782 0.8218 0.5000
La 0.8218 0.3218 0.5000
La 0.3218 0.1782 0.5000
```

Values from the calculation:
Space group: P4/mbm, No. 127
ΔE_f in eV/atom: -0.48

VASP calculation (PBE) on Be2Au3 after structural relaxation. Values from VASP.

```
&SYSTEM
  ibrav = 0, nat = 5, ntyp = 2
/
ATOMIC_SPECIES
Be 9.01 Be.upf
Au 196.97 Au.upf
CELL_PARAMETERS angstrom
-3.8405 0.9752 1.1641
2.1964 -2.7196 2.1989
1.8083 3.7463 2.8273
ATOMIC_POSITIONS crystal
Be 0.6667 0.3333 0.1680
Be 0.3333 0.6667 0.8320
Au 0.0000 0.0000 0.0000
Au 0.6667 0.3333 0.6627
Au 0.3333 0.6667 0.3373
```

Values from the calculation:
Space group: P-3m1, No. 164
Energy above the lowest structure with this stoichiometry in eV/atom: 0.000
ΔE_f in eV/atom: -0.10

VASP calculation (PBE) on CaHfOs2 after structural relaxation. Values from VASP.

```
&SYSTEM
  ibrav = 0, nat = 8, ntyp = 3
/
ATOMIC_SPECIES
Hf 178.49 Hf.upf
Ca 40.08 Ca.upf
Os 190.23 Os.upf
CELL_PARAMETERS angstrom
5.4171 0.0004 -0.0015
-0.5127 5.6658 0.0006
-1.2148 -2.0337 5.2658
ATOMIC_POSITIONS crystal
Hf 0.6474 0.2576 0.4971
Hf 0.3526 0.7424 0.5029
Ca 0.7933 0.6671 0.1443
Ca 0.2067 0.3329 0.8557
Os 0.3062 0.9308 0.0679
Os 0.6938 0.0692 0.9321
Os 0.0839 0.2639 0.3096
Os 0.9161 0.7361 0.6904
```

Values from the calculation:
Space group: P-1, No. 2
Energy above the lowest structure with this stoichiometry in eV/atom: 0.058
ΔE_f in eV/atom: 0.00

VASP calculation (PBE) on YTl2Se3 after structural relaxation. Values from VASP.

```
&SYSTEM
  ibrav = 0, nat = 12, ntyp = 3
/
ATOMIC_SPECIES
Y 88.91 Y.upf
Tl 204.38 Tl.upf
Se 78.96 Se.upf
CELL_PARAMETERS angstrom
6.4744 -0.3356 3.3567
2.4595 7.5477 1.2751
0.3223 -0.1678 7.3007
ATOMIC_POSITIONS crystal
Y 0.3334 0.0000 0.3332
Y 0.6666 0.0000 0.6668
Tl 0.0000 0.0000 0.0000
Tl 0.5000 0.5000 0.0000
Tl 0.8303 0.5000 0.3395
Tl 0.1697 0.5000 0.6605
Se 0.5920 0.2088 0.3389
Se 0.7311 0.7891 0.0000
Se 0.4080 0.7912 0.6611
Se 0.0691 0.7912 0.3389
Se 0.9309 0.2088 0.6611
Se 0.2689 0.2109 0.0000
```

Values from the calculation:
Space group: C2/m, No. 12
Formation energy (no corrections) in meV/atom: -985

VASP calculation (PBE) on NdCdHg6 after structural relaxation. Values from VASP.

```
&SYSTEM
  ibrav = 0, nat = 8, ntyp = 3
/
ATOMIC_SPECIES
Nd 144.24 Nd.upf
Cd 112.41 Cd.upf
Hg 200.59 Hg.upf
CELL_PARAMETERS angstrom
6.1635 0.0000 1.3769
2.9280 5.4236 1.3769
1.2983 0.7745 8.6718
ATOMIC_POSITIONS crystal
Nd 0.0000 0.0000 0.0000
Cd 0.5000 0.5000 0.5000
Hg 0.0685 0.0685 0.3106
Hg 0.0685 0.5524 0.3106
Hg 0.4476 0.9315 0.6894
Hg 0.9315 0.4476 0.6894
Hg 0.9315 0.9315 0.6894
Hg 0.5524 0.0685 0.3106
```

Values from the calculation:
Space group: R-3m, No. 166
Energy above the lowest structure with this stoichiometry in eV/atom: 0.247
ΔE_f in eV/atom: 0.08

VASP calculation (PBE) on K2TiF6 after structural relaxation. Values from VASP.

```
&SYSTEM
  ibrav = 0, nat = 18, ntyp = 3
/
ATOMIC_SPECIES
K 39.10 K.upf
Ti 47.87 Ti.upf
F 19.00 F.upf
CELL_PARAMETERS angstrom
6.0382 0.0000 -0.0938
0.0000 6.8052 0.0000
-0.8808 0.0000 8.1956
ATOMIC_POSITIONS crystal
K 0.9555 0.4238 0.7429
K 0.5445 0.9238 0.7571
K 0.4555 0.0762 0.2429
K 0.0445 0.5762 0.2571
Ti 0.5000 0.5000 0.0000
Ti 0.0000 0.0000 0.5000
F 0.8799 0.9481 0.2819
F 0.8739 0.7613 0.5662
F 0.7626 0.6366 0.9626
F 0.7374 0.1366 0.5374
F 0.6261 0.2613 0.9338
F 0.6201 0.4481 0.2181
F 0.1201 0.0519 0.7181
F 0.1261 0.2387 0.4338
F 0.2374 0.3634 0.0374
F 0.2626 0.8634 0.4626
F 0.3739 0.7387 0.0662
F 0.3799 0.5519 0.7819
```

Values from the calculation:
Space group: P2_1/c, No. 14
Formation energy (no corrections) in meV/atom: -3265